# 1
First-principles (PBE) data for crystalline Pt5Au at its relaxed geometry, as listed in the Alexandria database.

Values from the calculation:
- Distance to the lowest polymorph of the same formula: 1.181 eV per formula unit
- Calculated formation energy: 0.208 eV per atom
- V: 17.86 Å³ per atom
- Mass density: 18.16 Mg/m³

a b c (Å): 5.223 5.223 4.536
angles (deg): 90.00 90.00 120.00
Fractional positions:
Pt 0.000 0.500 0.500
Pt 0.333 0.667 0.000
Pt 0.667 0.333 0.000
Pt 0.500 0.000 0.500
Pt 0.500 0.500 0.500
Au 0.000 0.000 0.000



# 2
First-principles (PBE) data for crystalline PtAu5 at its relaxed geometry, as listed in the Alexandria database.

Values from the calculation:
- Distance to the lowest polymorph of the same formula: 1.781 eV per formula unit
- Calculated formation energy: 0.317 eV per atom
- V: 18.92 Å³ per atom
- Mass density: 17.26 Mg/m³

a b c (Å): 5.435 5.435 5.435
angles (deg): 60.00 60.00 60.00
Fractional positions:
Au 0.375 0.375 0.875
Au 0.875 0.375 0.375
Au 0.375 0.375 0.375
Au 0.375 0.875 0.375
Au 0.750 0.750 0.750
Pt 0.000 0.000 0.000



# 3
First-principles (PBE) data for crystalline Pt3Au5 at its relaxed geometry, as listed in the Alexandria database.

Values from the calculation:
- Distance to the lowest polymorph of the same formula: 1.059 eV per formula unit
- Calculated formation energy: 0.182 eV per atom
- V: 17.92 Å³ per atom
- Mass density: 18.18 Mg/m³

a b c (Å): 7.922 7.922 5.277
angles (deg): 90.00 90.00 120.00
Fractional positions:
Au 0.224 0.000 0.250
Au 0.333 0.667 0.500
Au 0.333 0.667 0.000
Au 0.000 0.224 0.250
Au 0.776 0.776 0.250
Au 0.000 0.776 0.750
Au 0.667 0.333 0.000
Au 0.776 0.000 0.750
Au 0.667 0.333 0.500
Au 0.224 0.224 0.750
Pt 0.405 0.000 0.750
Pt 0.595 0.000 0.250
Pt 0.405 0.405 0.250
Pt 0.595 0.595 0.750
Pt 0.000 0.405 0.750
Pt 0.000 0.595 0.250



# 4
First-principles (PBE) data for crystalline Pt6Au at its relaxed geometry, as listed in the Alexandria database.

Values from the calculation:
- Calculated formation energy: 0.967 eV per atom
- V: 24.63 Å³ per atom
- Mass density: 13.17 Mg/m³

a b c (Å): 6.073 6.073 6.073
angles (deg): 109.47 109.47 109.47
Fractional positions:
Pt 0.500 0.250 0.750
Pt 0.750 0.500 0.250
Pt 0.250 0.500 0.750
Pt 0.250 0.750 0.500
Pt 0.750 0.250 0.500
Pt 0.500 0.750 0.250
Au 0.000 0.000 0.000